# 1
Entry from the Alexandria database: an optimized crystal structure of Tm5Tl3S12 (GGA-PBE).

Values from the calculation:
- energy relative to the elements, uncorrected (kJ/mol of formula units) = -1864.7
- DOS at the Fermi energy (states/eV per atom) = 1.05
- crystal system = cubic
- VASP energy (eV per atom) = -4.916

abc: 14.054 14.054 14.054
angles: 109.47 109.47 109.47
Fractional positions:
1 Tm 0.000 0.000 0.000
2 Tm 0.000 0.000 0.500
3 Tm 0.000 0.500 0.000
4 Tm 0.000 0.500 0.500
5 Tm 0.125 0.750 0.875
6 Tm 0.125 0.875 0.250
7 Tm 0.250 0.125 0.875
8 Tm 0.250 0.625 0.375
9 Tm 0.375 0.250 0.625
10 Tm 0.375 0.625 0.750
11 Tm 0.500 0.000 0.000
12 Tm 0.500 0.000 0.500
13 Tm 0.500 0.500 0.000
14 Tm 0.500 0.500 0.500
15 Tm 0.625 0.375 0.250
16 Tm 0.625 0.750 0.375
17 Tm 0.750 0.375 0.625
18 Tm 0.750 0.875 0.125
19 Tm 0.875 0.125 0.750
20 Tm 0.875 0.250 0.125
21 Tl 0.125 0.250 0.375
22 Tl 0.125 0.375 0.750
23 Tl 0.250 0.375 0.125
24 Tl 0.250 0.875 0.625
25 Tl 0.375 0.125 0.250
26 Tl 0.375 0.750 0.125
27 Tl 0.625 0.250 0.875
28 Tl 0.625 0.875 0.750
29 Tl 0.750 0.125 0.375
30 Tl 0.750 0.625 0.875
31 Tl 0.875 0.625 0.250
32 Tl 0.875 0.750 0.625
33 S 0.041 0.218 0.118
34 S 0.041 0.323 0.923
35 S 0.077 0.618 0.399
36 S 0.077 0.959 0.677
37 S 0.101 0.718 0.677
38 S 0.101 0.882 0.423
39 S 0.118 0.041 0.218
40 S 0.118 0.577 0.899
41 S 0.177 0.218 0.601
42 S 0.177 0.459 0.577
43 S 0.218 0.118 0.041
44 S 0.218 0.601 0.177
45 S 0.282 0.323 0.899
46 S 0.282 0.459 0.382
47 S 0.323 0.899 0.282
48 S 0.323 0.923 0.041
49 S 0.382 0.282 0.459
50 S 0.382 0.601 0.923
51 S 0.399 0.077 0.618
52 S 0.399 0.823 0.782
53 S 0.423 0.101 0.882
54 S 0.423 0.823 0.541
55 S 0.459 0.382 0.282
56 S 0.459 0.577 0.177
57 S 0.541 0.423 0.823
58 S 0.541 0.618 0.718
59 S 0.577 0.177 0.459
60 S 0.577 0.899 0.118
61 S 0.601 0.177 0.218
62 S 0.601 0.923 0.382
63 S 0.618 0.399 0.077
64 S 0.618 0.718 0.541
65 S 0.677 0.077 0.959
66 S 0.677 0.101 0.718
67 S 0.718 0.541 0.618
68 S 0.718 0.677 0.101
69 S 0.782 0.399 0.823
70 S 0.782 0.882 0.959
71 S 0.823 0.541 0.423
72 S 0.823 0.782 0.399
73 S 0.882 0.423 0.101
74 S 0.882 0.959 0.782
75 S 0.899 0.118 0.577
76 S 0.899 0.282 0.323
77 S 0.923 0.041 0.323
78 S 0.923 0.382 0.601
79 S 0.959 0.677 0.077
80 S 0.959 0.782 0.882

=====

# 2
Entry from the Alexandria database: an optimized crystal structure of K3Ce2ZrS6 (GGA-PBE).

Values from the calculation:
- energy relative to the elements, uncorrected (kJ/mol of formula units) = -1938.6
- DOS at the Fermi energy (states/eV per atom) = 1.20
- crystal system = monoclinic
- VASP energy (eV per atom) = -5.714

abc: 7.020 7.020 7.769
angles: 98.69 98.69 120.01
Fractional positions:
1 K 0.000 0.000 0.000
2 K 0.332 0.668 0.000
3 K 0.668 0.332 0.000
4 Ce 0.166 0.834 0.500
5 Ce 0.834 0.166 0.500
6 Zr 0.500 0.500 0.500
7 S 0.117 0.432 0.296
8 S 0.253 0.253 0.704
9 S 0.432 0.117 0.296
10 S 0.568 0.883 0.704
11 S 0.747 0.747 0.296
12 S 0.883 0.568 0.704

=====

# 3
Entry from the Alexandria database: an optimized crystal structure of DyZn2Pb (GGA-PBE).

Values from the calculation:
- E above lowest polymorph (meV/atom) = 140
- DOS at the Fermi energy (states/eV per atom) = 0.39
- crystal system = trigonal
- VASP energy (eV per atom) = -2.837
- energy relative to the elements (eV per atom) = -0.122

abc: 4.601 4.601 15.113
angles: 90.00 90.00 120.00
Fractional positions:
1 Dy 0.000 0.000 0.000
2 Dy 0.333 0.667 0.667
3 Dy 0.667 0.333 0.333
4 Zn 0.000 0.000 0.241
5 Zn 0.000 0.000 0.759
6 Zn 0.333 0.667 0.426
7 Zn 0.333 0.667 0.908
8 Zn 0.667 0.333 0.092
9 Zn 0.667 0.333 0.574
10 Pb 0.000 0.000 0.500
11 Pb 0.333 0.667 0.167
12 Pb 0.667 0.333 0.833